No. 1
Here is a relaxed structure of Th2ReHg from the Alexandria database. Energies are from GGA-PBE.

Cell lengths 3.4853, 3.4853, 8.5064 Å; angles 90.00, 90.00, 90.00 degrees
Closest atoms and distances in Å follow each position.
Space group P4/mmm (No. 123)
Symmetry-distinct sites (fractional):
Th: 0.0000 0.0000 0.2115 [2 per cell]  4 Re 3.05
Re: 0.5000 0.5000 0.0000 [1 per cell]  8 Th 3.05
Hg: 0.5000 0.5000 0.5000 [1 per cell]  8 Th 3.48, 4 Hg 3.49

Output
Energy above the most stable polymorph in this dataset (meV per atom): 0
D(E_F) (states/eV per cell): 3.81


No. 2
Here is a relaxed structure of TiBeGa from the Alexandria database. Energies are from GGA-PBE.

Cell lengths 3.9430, 3.9430, 2.9873 Å; angles 90.00, 90.00, 120.00 degrees
Closest atoms and distances in Å follow each position.
Space group P-6m2 (No. 187)
Symmetry-distinct sites (fractional):
Ti: 0.0000 0.0000 0.0000 [1 per cell]  6 Be 2.72, 6 Ga 2.72, 2 Ti 2.99
Be: 0.6667 0.3333 0.5000 [1 per cell]  3 Ga 2.28
Ga: 0.3333 0.6667 0.5000 [1 per cell]  3 Be 2.28

Output
Energy above the most stable polymorph in this dataset (meV per atom): 9
D(E_F) (states/eV per cell): 0.67


Computed values of M_tot (unit: μB/cell) for the preceding records, in sequence: 0.000, 0.000.